# 1
DFT (PBE-GGA) results for an optimized crystal structure of CoCu2TcPb.

```
CoCu2TcPb
1.0
4.7713 0.0000 0.0000
0.0000 4.7713 0.0000
0.0000 0.0000 4.8635
Co Cu Tc Pb
1 2 1 1
direct
0.0000 0.0000 0.0000
0.0000 0.5000 0.5000
0.5000 0.0000 0.5000
0.5000 0.5000 0.0000
0.0000 0.0000 0.5000
```

Results
ρ: 7.367 Mg/m³
M_tot: 5.35 μB/f.u.
VASP energy: -20.59 eV for the cell shown

---

# 2
DFT (PBE-GGA) results for an optimized crystal structure of ZnCoCu2Pb.

```
ZnCoCu2Pb
1.0
4.4759 0.0000 0.0000
0.0000 4.4759 0.0000
0.0000 0.0000 5.1754
Zn Co Cu Pb
1 1 2 1
direct
0.0000 0.0000 0.0000
0.5000 0.5000 0.5000
0.0000 0.5000 0.0000
0.5000 0.0000 0.0000
0.0000 0.0000 0.5000
```

Results
ρ: 7.345 Mg/m³
M_tot: 1.80 μB/f.u.
VASP energy: -15.01 eV for the cell shown

---

# 3
DFT (PBE-GGA) results for an optimized crystal structure of CoCu3Pd.

```
CoCu3Pd
1.0
4.3317 0.0000 0.0000
0.0000 4.3317 0.0000
0.0000 0.0000 4.3317
Co Cu Pd
1 3 1
direct
0.0000 0.0000 0.0000
0.0000 0.0000 0.5000
0.0000 0.5000 0.0000
0.5000 0.0000 0.0000
0.5000 0.5000 0.5000
```

Results
ρ: 7.273 Mg/m³
M_tot: 1.86 μB/f.u.
VASP energy: -19.81 eV for the cell shown

---

# 4
DFT (PBE-GGA) results for an optimized crystal structure of CoCu6Pd12.

```
CoCu6Pd12
1.0
5.9279 3.4224 2.2264
-5.9279 3.4224 2.2264
0.0000 -6.8449 2.2264
Co Cu Pd
1 6 12
direct
0.0000 0.0000 0.0000
0.0508 0.3670 0.5785
0.3670 0.5785 0.0508
0.4215 0.9492 0.6330
0.5785 0.0508 0.3670
0.6330 0.4215 0.9492
0.9492 0.6330 0.4215
0.1084 0.7388 0.1623
0.1623 0.1084 0.7388
0.2070 0.4736 0.3174
0.2612 0.8377 0.8916
0.3174 0.2070 0.4736
0.4736 0.3174 0.2070
0.5264 0.6826 0.7930
0.6826 0.7930 0.5264
0.7388 0.1623 0.1084
0.7930 0.5264 0.6826
0.8377 0.8916 0.2612
0.8916 0.2612 0.8377
```

Results
ρ: 10.522 Mg/m³
M_tot: 3.98 μB/f.u.
VASP energy: -94.92 eV for the cell shown